Run a
Density functional theory data (PBE) for a relaxed structure of AcPrMg.

Lattice parameters (Å, degrees): 7.285 7.172 8.389 90.00 101.26 90.00
Space group C2/m (No. 12)
Unique sites:
Ac 0.184 0.000 0.185 x4
Pr 0.181 0.500 0.231 x4
Mg 0.000 0.247 0.500 x4

---

Run b
Density functional theory data (PBE) for a relaxed structure of AcPrMg.

Lattice parameters (Å, degrees): 5.7324 5.7324 3.6693 90.00 90.00 120.00
Space group P3m1 (No. 156)
Unique sites:
Ac 0.0000 0.0000 0.0000 x1
Pr 0.3333 0.6667 0.5667 x1
Mg 0.6667 0.3333 0.3567 x1

---

Most stable: run b (next structure +81 meV per atom)

---

Run a
Density functional theory data (PBE) for a relaxed structure of Ac6Pr2Mg.

Lattice parameters (Å, degrees): 3.9024 3.9024 28.5555 90.00 90.00 120.00
Space group P-6m2 (No. 187)
Unique sites:
Ac 0.0000 0.0000 0.0676 x2
Ac 0.0000 0.0000 0.2849 x2
Ac 0.3333 0.6667 0.4005 x2
Pr 0.3333 0.6667 0.1744 x2
Mg 0.0000 0.0000 0.5000 x1

---

Run b
Density functional theory data (PBE) for a relaxed structure of Ac6Pr2Mg.

Lattice parameters (Å, degrees): 22.770 10.013 6.792 90.00 107.32 90.00
Space group C2/c (No. 15)
Unique sites:
Ac 0.078 0.075 0.218 x8
Ac 0.079 0.424 0.435 x8
Ac 0.168 0.251 0.918 x8
Pr 0.250 0.079 0.557 x8
Mg 0.000 0.251 0.750 x4

---

Most stable: run a (next structure +12 meV per atom)

---

Run a
Density functional theory data (PBE) for a relaxed structure of SrAcPrMg.

Lattice parameters (Å, degrees): 3.938 3.938 10.084 90.00 90.00 90.00
Space group P4mm (No. 99)
Unique sites:
Sr 0.000 0.000 0.000 x1
Ac 0.500 0.500 0.683 x1
Pr 0.000 0.000 0.427 x1
Mg 0.500 0.500 0.231 x1

---

Run b
Density functional theory data (PBE) for a relaxed structure of SrAcPrMg.

Lattice parameters (Å, degrees): 8.524 8.524 8.524 90.00 90.00 90.00
Space group F-43m (No. 216)
Unique sites:
Sr 0.000 0.000 0.000 x4
Ac 0.250 0.250 0.750 x4
Pr 0.000 0.000 0.500 x4
Mg 0.250 0.250 0.250 x4

---

Most stable: run a (next structure +153 meV per atom)

---

Run a
Density functional theory data (PBE) for a relaxed structure of AcTbPrMg.

Lattice parameters (Å, degrees): 3.853 3.853 9.108 90.00 90.00 90.00
Space group P4mm (No. 99)
Unique sites:
Ac 0.000 0.000 0.000 x1
Tb 0.500 0.500 0.282 x1
Pr 0.500 0.500 0.705 x1
Mg 0.000 0.000 0.484 x1

---

Run b
Density functional theory data (PBE) for a relaxed structure of AcTbPrMg.

Lattice parameters (Å, degrees): 8.170 8.170 8.170 90.00 90.00 90.00
Space group F-43m (No. 216)
Unique sites:
Ac 0.000 0.000 0.000 x4
Tb 0.250 0.250 0.750 x4
Pr 0.250 0.250 0.250 x4
Mg 0.000 0.000 0.500 x4

---

Most stable: run a (next structure +136 meV per atom)

---

Run a
Density functional theory data (PBE) for a relaxed structure of AcPrYMg.

Lattice parameters (Å, degrees): 8.174 8.174 8.174 90.00 90.00 90.00
Space group F-43m (No. 216)
Unique sites:
Ac 0.000 0.000 0.000 x4
Pr 0.250 0.250 0.750 x4
Y 0.250 0.250 0.250 x4
Mg 0.000 0.000 0.500 x4

---

Run b
Density functional theory data (PBE) for a relaxed structure of AcPrYMg.

Lattice parameters (Å, degrees): 3.855 3.855 9.121 90.00 90.00 90.00
Space group P4mm (No. 99)
Unique sites:
Ac 0.000 0.000 0.000 x1
Pr 0.500 0.500 0.706 x1
Y 0.500 0.500 0.284 x1
Mg 0.000 0.000 0.484 x1

---

Most stable: run b (next structure +139 meV per atom)

---

Run a
Density functional theory data (PBE) for a relaxed structure of AcMgPt.

Lattice parameters (Å, degrees): 4.6166 4.6166 4.3062 90.00 90.00 120.00
Space group P-6m2 (No. 187)
Unique sites:
Ac 0.0000 0.0000 0.0000 x1
Mg 0.3333 0.6667 0.5000 x1
Pt 0.6667 0.3333 0.5000 x1

---

Run b
Density functional theory data (PBE) for a relaxed structure of AcMgPt.

Lattice parameters (Å, degrees): 7.060 7.060 7.060 90.00 90.00 90.00
Space group F-43m (No. 216)
Unique sites:
Ac 0.000 0.000 0.000 x4
Mg 0.000 0.000 0.500 x4
Pt 0.250 0.250 0.250 x4

---

Run c
Density functional theory data (PBE) for a relaxed structure of AcMgPt.

Lattice parameters (Å, degrees): 8.430 12.256 12.669 90.00 90.00 90.00
Space group Fddd (No. 70, origin choice 2)
Unique sites:
Ac 0.000 0.000 0.000 x16
Mg 0.125 0.125 0.500 x16
Pt 0.125 0.309 0.625 x16

---

Run d
Density functional theory data (PBE) for a relaxed structure of AcMgPt.

Lattice parameters (Å, degrees): 7.626 4.394 9.073 90.00 90.00 90.00
Space group Pnma (No. 62)
Unique sites:
Ac 0.040 0.250 0.182 x4
Mg 0.130 0.250 0.556 x4
Pt 0.241 0.750 0.380 x4

---

Most stable: run d (next structure +145 meV per atom)